Here is a geometry-optimized Ac3ThPd4 structure from the Alexandria database. Energies are from PBE-GGA.

Structure (extended XYZ):
```
8
Lattice="4.3699 -6.1713 0.0000 4.3699 6.1713 0.0000 0.0000 0.0000 4.3561" Properties=species:S:1:pos:R:3 pbc="T T T"
Ac 0.0000 0.0000 0.0000
Ac 2.1850 3.0857 2.1781
Ac 2.1850 -3.0857 2.1781
Th 4.3699 0.0000 0.0000
Pd 4.3699 2.9698 0.0000
Pd 2.3317 0.0000 2.1781
Pd 6.4082 0.0000 2.1781
Pd 4.3699 -2.9698 0.0000
```

Output
DFT formation energy   -752 meV per atom

---

Here is a geometry-optimized AcTh2Pd9 structure from the Alexandria database. Energies are from PBE-GGA.

Structure (extended XYZ):
```
12
Lattice="4.2492 0.0000 0.0000 0.0000 4.2492 0.0000 0.0000 0.0000 12.7771" Properties=species:S:1:pos:R:3 pbc="T T T"
Ac 0.0000 0.0000 0.0000
Th 0.0000 0.0000 4.2708
Th 0.0000 0.0000 8.5063
Pd 0.0000 2.1246 2.2478
Pd 0.0000 2.1246 6.3885
Pd 0.0000 2.1246 10.5293
Pd 2.1246 0.0000 2.2478
Pd 2.1246 0.0000 6.3885
Pd 2.1246 0.0000 10.5293
Pd 2.1246 2.1246 0.0000
Pd 2.1246 2.1246 4.3207
Pd 2.1246 2.1246 8.4563
```

Output
DFT formation energy   -891 meV per atom

---

Here is a geometry-optimized AcThPd2 structure from the Alexandria database. Energies are from PBE-GGA.

Structure (extended XYZ):
```
4
Lattice="3.7291 0.0000 0.0000 0.0000 3.7291 0.0000 0.0000 0.0000 7.5095" Properties=species:S:1:pos:R:3 pbc="T T T"
Ac 0.0000 0.0000 0.0000
Th 0.0000 0.0000 3.7547
Pd 1.8645 1.8645 2.2066
Pd 1.8645 1.8645 5.3029
```

Output
DFT formation energy   -691 meV per atom

---

Here is a geometry-optimized AcThPd2 structure from the Alexandria database. Energies are from PBE-GGA.

Structure (extended XYZ):
```
4
Lattice="0.0000 3.7150 3.7150 3.7150 0.0000 3.7150 3.7150 3.7150 0.0000" Properties=species:S:1:pos:R:3 pbc="T T T"
Ac 0.0000 0.0000 0.0000
Th 3.7150 3.7150 3.7150
Pd 1.8575 1.8575 1.8575
Pd 5.5725 5.5725 5.5725
```

Output
DFT formation energy   -603 meV per atom

---

Here is a geometry-optimized AcThPd2 structure from the Alexandria database. Energies are from PBE-GGA.

Structure (extended XYZ):
```
4
Lattice="2.1078 1.2170 7.4247 -2.1078 1.2170 7.4247 0.0000 -2.4339 7.4247" Properties=species:S:1:pos:R:3 pbc="T T T"
Ac 0.0000 0.0000 0.0000
Th 0.0000 0.0000 3.8325
Pd 0.0000 0.0000 12.9028
Pd 0.0000 0.0000 16.9566
```

Output
DFT formation energy   -666 meV per atom

---

Here is a geometry-optimized Ac2ThPd2 structure from the Alexandria database. Energies are from PBE-GGA.

Structure (extended XYZ):
```
10
Lattice="5.9771 -3.3741 0.0000 5.9771 3.3741 0.0000 -1.5179 0.0000 7.5925" Properties=species:S:1:pos:R:3 pbc="T T T"
Ac 1.5897 0.7103 1.1372
Ac 0.8308 -0.7103 4.9335
Ac 9.6054 0.7103 2.6591
Ac 8.8465 -0.7103 6.4553
Th 5.5976 0.5985 1.8981
Th 4.8386 -0.5985 5.6944
Pd 3.4882 0.9918 3.7577
Pd 7.7070 0.9918 0.0386
Pd 2.7292 -0.9918 7.5540
Pd 6.9481 -0.9918 3.8349
```

Output
DFT formation energy   -623 meV per atom

---

Here is a geometry-optimized AcThPd structure from the Alexandria database. Energies are from PBE-GGA.

Structure (extended XYZ):
```
6
Lattice="5.7678 0.0000 0.0000 0.0000 4.1872 0.0000 -1.1686 0.0000 8.0384" Properties=species:S:1:pos:R:3 pbc="T T T"
Ac 0.8258 1.0468 2.8790
Ac 3.7735 3.1404 5.1594
Th 0.8905 1.0468 6.7507
Th 3.7088 3.1404 1.2877
Pd 0.9099 3.1404 0.3486
Pd 3.6894 1.0468 7.6898
```

Output
DFT formation energy   -380 meV per atom

---

Here is a geometry-optimized AcThPd6 structure from the Alexandria database. Energies are from PBE-GGA.

Structure (extended XYZ):
```
8
Lattice="4.2617 0.0000 0.0000 0.0000 4.2617 0.0000 0.0000 0.0000 8.5422" Properties=species:S:1:pos:R:3 pbc="T T T"
Ac 0.0000 0.0000 0.0000
Th 0.0000 0.0000 4.2711
Pd 0.0000 2.1308 2.2268
Pd 0.0000 2.1308 6.3154
Pd 2.1308 0.0000 2.2268
Pd 2.1308 0.0000 6.3154
Pd 2.1308 2.1308 0.0000
Pd 2.1308 2.1308 4.2711
```

Output
DFT formation energy   -880 meV per atom

---

Here is a geometry-optimized AcThPd3 structure from the Alexandria database. Energies are from PBE-GGA.

Structure (extended XYZ):
```
10
Lattice="2.0046 -14.1341 0.0000 2.0046 14.1341 0.0000 0.0000 0.0000 4.3732" Properties=species:S:1:pos:R:3 pbc="T T T"
Ac 2.0046 12.1269 3.2799
Ac 2.0046 -12.1269 1.0933
Th 2.0046 8.4450 1.0933
Th 2.0046 -8.4450 3.2799
Pd 2.0046 5.4001 1.0933
Pd 2.0046 3.5426 3.2799
Pd 2.0046 0.8129 3.2799
Pd 2.0046 -0.8129 1.0933
Pd 2.0046 -3.5426 1.0933
Pd 2.0046 -5.4001 3.2799
```

Output
DFT formation energy   -822 meV per atom

---

Here is a geometry-optimized AcThPd structure from the Alexandria database. Energies are from PBE-GGA.

Structure (extended XYZ):
```
6
Lattice="-2.3928 2.3928 8.0467 2.3928 -2.3928 8.0467 2.3928 2.3928 -8.0467" Properties=species:S:1:pos:R:3 pbc="T T T"
Ac 0.0000 0.0000 3.0276
Ac 0.0000 0.0000 13.0659
Th 2.3928 0.0000 0.0000
Th 0.0000 2.3928 0.0000
Pd 0.0000 0.0000 6.0576
Pd 0.0000 0.0000 10.0358
```

Output
DFT formation energy   -395 meV per atom

---

Here is a geometry-optimized AcThPd2 structure from the Alexandria database. Energies are from PBE-GGA.

Structure (extended XYZ):
```
4
Lattice="2.1481 1.2402 7.0974 -2.1481 1.2402 7.0974 0.0000 -2.4804 7.0974" Properties=species:S:1:pos:R:3 pbc="T T T"
Ac 0.0000 0.0000 0.0000
Th 0.0000 0.0000 10.6462
Pd 0.0000 0.0000 5.1628
Pd 0.0000 0.0000 16.1295
```

Output
DFT formation energy   -730 meV per atom

---

Here is a geometry-optimized AcThPd2 structure from the Alexandria database. Energies are from PBE-GGA.

Structure (extended XYZ):
```
8
Lattice="5.9559 0.0000 0.0000 0.0000 4.7430 0.0000 -2.4787 0.0000 7.5561" Properties=species:S:1:pos:R:3 pbc="T T T"
Ac 0.2918 1.1858 3.2492
Ac 3.1854 3.5573 4.3068
Th -0.9575 1.1858 7.0785
Th 4.4347 3.5573 0.4776
Pd 1.3826 3.5573 1.3374
Pd 0.1685 3.5573 5.5887
Pd 3.3086 1.1858 1.9674
Pd 2.0945 1.1858 6.2187
```

Output
DFT formation energy   -779 meV per atom

---

Here is a geometry-optimized AcThPd structure from the Alexandria database. Energies are from PBE-GGA.

Structure (extended XYZ):
```
3
Lattice="-1.8972 1.8972 6.3348 1.8972 -1.8972 6.3348 1.8972 1.8972 -6.3348" Properties=species:S:1:pos:R:3 pbc="T T T"
Ac 0.0000 0.0000 0.0000
Th 0.0000 0.0000 3.6456
Pd 0.0000 0.0000 8.6739
```

Output
DFT formation energy   -395 meV per atom

---

Here is a geometry-optimized AcThTlPd structure from the Alexandria database. Energies are from PBE-GGA.

Structure (extended XYZ):
```
4
Lattice="0.0000 3.8711 3.8711 3.8711 0.0000 3.8711 3.8711 3.8711 0.0000" Properties=species:S:1:pos:R:3 pbc="T T T"
Ac 0.0000 0.0000 0.0000
Th 3.8711 3.8711 3.8711
Tl 5.8066 5.8066 5.8066
Pd 1.9355 1.9355 1.9355
```

Output
DFT formation energy   -295 meV per atom

---

Here is a geometry-optimized AcThZnPd structure from the Alexandria database. Energies are from PBE-GGA.

Structure (extended XYZ):
```
4
Lattice="0.0000 3.7472 3.7472 3.7472 0.0000 3.7472 3.7472 3.7472 0.0000" Properties=species:S:1:pos:R:3 pbc="T T T"
Ac 0.0000 0.0000 0.0000
Th 3.7472 3.7472 3.7472
Zn 5.6208 5.6208 5.6208
Pd 1.8736 1.8736 1.8736
```

Output
DFT formation energy   -342 meV per atom

---

Here is a geometry-optimized AcThZn2Pd5 structure from the Alexandria database. Energies are from PBE-GGA.

Structure (extended XYZ):
```
9
Lattice="4.6005 0.0000 0.0000 0.0000 4.6005 0.0000 0.0000 0.0000 8.4620" Properties=species:S:1:pos:R:3 pbc="T T T"
Ac 0.0000 0.0000 0.0000
Th 0.0000 0.0000 4.2310
Zn 2.3003 2.3003 3.0117
Zn 2.3003 2.3003 5.4504
Pd 0.0000 2.3003 2.0389
Pd 0.0000 2.3003 6.4232
Pd 2.3003 0.0000 2.0389
Pd 2.3003 0.0000 6.4232
Pd 2.3003 2.3003 0.0000
```

Output
DFT formation energy   -610 meV per atom

---

Here is a geometry-optimized AcTiPd2 structure from the Alexandria database. Energies are from PBE-GGA.

Structure (extended XYZ):
```
4
Lattice="2.2421 1.2945 5.3409 -2.2421 1.2945 5.3409 0.0000 -2.5889 5.3409" Properties=species:S:1:pos:R:3 pbc="T T T"
Ac 0.0000 0.0000 0.0000
Ti 0.0000 0.0000 8.0114
Pd 0.0000 0.0000 3.2933
Pd 0.0000 0.0000 12.7295
```

Output
DFT formation energy   -588 meV per atom

---

Here is a geometry-optimized AcTiPd structure from the Alexandria database. Energies are from PBE-GGA.

Structure (extended XYZ):
```
6
Lattice="2.5320 -2.5358 0.0000 2.5320 2.5358 0.0000 0.0000 0.0000 11.4283" Properties=species:S:1:pos:R:3 pbc="T T T"
Ac 0.0000 0.0000 1.9766
Ac 0.0000 0.0000 9.4516
Ti 2.5320 0.0000 4.4769
Ti 2.5320 0.0000 6.9514
Pd 0.0000 0.0000 5.7141
Pd 2.5320 0.0000 0.0000
```

Output
DFT formation energy   -131 meV per atom

---

Here is a geometry-optimized AcTiPd2 structure from the Alexandria database. Energies are from PBE-GGA.

Structure (extended XYZ):
```
4
Lattice="3.3714 0.0000 0.0000 0.0000 3.3714 0.0000 0.0000 0.0000 7.4215" Properties=species:S:1:pos:R:3 pbc="T T T"
Ac 0.0000 0.0000 0.0000
Ti 0.0000 0.0000 3.7108
Pd 1.6857 1.6857 2.3199
Pd 1.6857 1.6857 5.1016
```

Output
DFT formation energy   -467 meV per atom

---

Here is a geometry-optimized AcTl3Pd structure from the Alexandria database. Energies are from PBE-GGA.

Structure (extended XYZ):
```
20
Lattice="9.7460 0.0000 0.0000 0.0000 4.7302 0.0000 0.0000 0.0000 11.9630" Properties=species:S:1:pos:R:3 pbc="T T T"
Ac 1.9674 1.1825 0.0423
Ac 2.9056 3.5476 6.0237
Ac 6.8405 1.1825 5.9392
Ac 7.7786 3.5476 11.9207
Tl 0.5804 1.1825 7.0769
Tl 1.0280 3.5476 9.6100
Tl 1.3500 3.5476 2.4577
Tl 3.5230 1.1825 8.4391
Tl 3.8450 1.1825 3.6286
Tl 4.2926 3.5476 1.0954
Tl 5.4534 1.1825 10.8676
Tl 5.9010 3.5476 8.3344
Tl 6.2231 3.5476 3.5238
Tl 8.3960 1.1825 9.5053
Tl 8.7180 1.1825 2.3529
Tl 9.1657 3.5476 4.8861
Pd 1.0850 1.1825 4.2490
Pd 3.7881 3.5476 10.2305
Pd 5.9580 1.1825 1.7325
Pd 8.6611 3.5476 7.7140
```

Output
DFT formation energy   -323 meV per atom

---

Here is a geometry-optimized Ac6Tl2Pd structure from the Alexandria database. Energies are from PBE-GGA.

Structure (extended XYZ):
```
18
Lattice="7.1448 0.0000 0.0000 0.0000 9.1167 0.0000 -7.0744 0.0000 10.7821" Properties=species:S:1:pos:R:3 pbc="T T T"
Ac -2.5863 1.6172 4.7729
Ac -6.1235 2.9412 10.1640
Ac -0.9574 6.2204 4.7713
Ac -4.4946 7.4546 10.1624
Ac 0.8973 0.3061 2.8206
Ac -2.6400 4.2523 8.2117
Ac 2.7103 4.8644 2.5704
Ac -0.8269 8.8106 7.9614
Ac 4.5650 1.6621 0.6197
Ac 1.0277 2.8963 6.0107
Ac 6.1938 6.1755 0.6181
Ac 2.6566 7.4995 6.0091
Tl -4.0194 1.0819 8.1193
Tl -0.4822 3.4764 2.7283
Tl 0.5526 5.6403 8.0537
Tl 4.0898 8.0348 2.6627
Pd 0.0000 0.0000 0.0000
Pd -3.5372 4.5584 5.3910
```

Output
DFT formation energy   -285 meV per atom

---

Here is a geometry-optimized Ac3Tl2Pd4 structure from the Alexandria database. Energies are from PBE-GGA.

Structure (extended XYZ):
```
9
Lattice="6.2919 -2.2100 0.0000 6.2919 2.2100 0.0000 -4.1584 0.0000 8.5825" Properties=species:S:1:pos:R:3 pbc="T T T"
Ac 0.0000 0.0000 0.0000
Ac 3.3728 0.0000 2.5654
Ac 5.0525 0.0000 6.0171
Tl 1.4394 0.0000 5.7191
Tl 6.9860 0.0000 2.8634
Pd -0.8376 0.0000 3.6193
Pd -0.2255 0.0000 8.0807
Pd 8.6508 0.0000 0.5018
Pd 9.2630 0.0000 4.9632
```

Output
DFT formation energy   -665 meV per atom

---

Here is a geometry-optimized Ac8Tl2Pd structure from the Alexandria database. Energies are from PBE-GGA.

Structure (extended XYZ):
```
11
Lattice="10.1533 -2.7744 0.0000 10.1533 2.7744 0.0000 -1.2763 0.0000 7.5119" Properties=species:S:1:pos:R:3 pbc="T T T"
Ac -0.0346 0.0000 2.0362
Ac 3.2059 0.0000 6.1313
Ac 6.5200 0.0000 3.8676
Ac 8.2453 0.0000 0.2569
Ac 10.7850 0.0000 7.2550
Ac 12.5103 0.0000 3.6443
Ac 15.8244 0.0000 1.3806
Ac 19.0649 0.0000 5.4757
Tl 3.4852 0.0000 1.9461
Tl 15.5451 0.0000 5.5658
Pd 9.5151 0.0000 3.7559
```

Output
DFT formation energy   -233 meV per atom

---

Here is a geometry-optimized AcTl2Pd structure from the Alexandria database. Energies are from PBE-GGA.

Structure (extended XYZ):
```
4
Lattice="3.7038 0.0000 0.0000 0.0000 3.7038 0.0000 0.0000 0.0000 7.6602" Properties=species:S:1:pos:R:3 pbc="T T T"
Ac 0.0000 0.0000 0.0000
Tl 1.8519 1.8519 2.3207
Tl 1.8519 1.8519 5.3395
Pd 0.0000 0.0000 3.8301
```

Output
DFT formation energy   -238 meV per atom

---

Here is a geometry-optimized Ac2TlPd5 structure from the Alexandria database. Energies are from PBE-GGA.

Structure (extended XYZ):
```
8
Lattice="-3.2930 3.2930 4.2864 3.2930 -3.2930 4.2864 3.2930 3.2930 -4.2864" Properties=species:S:1:pos:R:3 pbc="T T T"
Ac 3.2930 0.0000 0.0000
Ac 0.0000 3.2930 0.0000
Tl 0.0000 0.0000 2.5360
Pd 1.9030 1.9030 2.0706
Pd 1.3900 -1.3900 6.3570
Pd -1.3900 1.3900 6.3570
Pd 1.3900 1.3900 6.3570
Pd 0.0000 0.0000 8.3432
```

Output
DFT formation energy   -622 meV per atom